Computed, not measured: a relaxed Cd2BMoF crystal at the GGA+U level of DFT.

Output
* space-group type: P4/mmm, No. 123
* raw total energy: -2.72 eV per atom

a b c (Å): 4.9454 4.2723 4.9454
angles (deg): 90.00 90.00 90.00
Closest atoms and distances in Å follow each position.
Positions (direct):
Mo 0.0000 0.5000 0.0000  2 F 2.14
F 0.0000 0.0000 0.0000  2 Mo 2.14
B 0.5000 0.5000 0.5000  8 Cd 3.27, 4 Mo 3.50
Cd 0.0000 0.0000 0.5000  2 F 2.47
Cd 0.5000 0.0000 0.0000  2 F 2.47